# CoAgPt2

A relaxed structure of CoAgPt2 (PBE, Alexandria).

Results
Its density of states at the Fermi level is 4.343 states/eV/f.u. As for the calculated formation energy: 0.48 eV per formula unit.

Unit cell a=3.918 b=3.918 c=7.881 alpha=90.00 beta=90.00 gamma=90.00
Space group I-4m2 (No. 119)
Symmetry-distinct sites (fractional):
Co: 0.000 0.000 0.000
Ag: 0.000 0.500 0.250
Pt: 0.000 0.000 0.500
Pt: 0.000 0.500 0.750